*a*
{"formula": "Tb2NdCo2", "functional": "GGA-PBE", "state": "relaxed", "total_magnetization_mub_per_cell": 1.64, "cell": [[3.938, 0.000, 0.000], [0.000, 14.740, 0.000], [0.000, 0.000, 4.037]], "species": ["Tb", "Tb", "Tb", "Tb", "Nd", "Nd", "Co", "Co", "Co", "Co"], "frac_coords": [[0.000, 0.151, 0.000], [0.000, 0.849, 0.000], [0.500, 0.349, 0.000], [0.500, 0.651, 0.000], [0.000, 0.500, 0.500], [0.500, 0.000, 0.500], [0.000, 0.290, 0.500], [0.000, 0.710, 0.500], [0.500, 0.210, 0.500], [0.500, 0.790, 0.500]]}

***

*b*
{"formula": "Tb2NdCo2", "functional": "GGA-PBE", "state": "relaxed", "total_magnetization_mub_per_cell": 0.00, "cell": [[11.500, 0.000, 0.000], [0.000, 3.772, 0.000], [-1.375, 0.000, 5.392]], "species": ["Tb", "Tb", "Tb", "Tb", "Nd", "Nd", "Co", "Co", "Co", "Co"], "frac_coords": [[0.149, 0.000, 0.083], [0.351, 0.500, 0.917], [0.649, 0.500, 0.083], [0.851, 0.000, 0.917], [0.000, 0.500, 0.500], [0.500, 0.000, 0.500], [0.222, 0.000, 0.604], [0.278, 0.500, 0.396], [0.722, 0.500, 0.604], [0.778, 0.000, 0.396]]}

***

Which structure is the least stable? The one labeled *b*.

***

*a*
{"formula": "TbNdZnCo", "functional": "GGA-PBE", "state": "relaxed", "total_magnetization_mub_per_cell": 0.00, "cell": [[4.323, 0.000, 0.000], [0.000, 3.942, 0.000], [0.000, 0.000, 10.682]], "species": ["Tb", "Tb", "Nd", "Nd", "Zn", "Zn", "Co", "Co"], "frac_coords": [[0.000, 0.000, 0.000], [0.000, 0.500, 0.500], [0.500, 0.000, 0.719], [0.500, 0.500, 0.219], [0.000, 0.000, 0.298], [0.000, 0.500, 0.798], [0.500, 0.000, 0.424], [0.500, 0.500, 0.924]]}

***

*b*
{"formula": "TbNdZnCo", "functional": "GGA-PBE", "state": "relaxed", "total_magnetization_mub_per_cell": 0.00, "cell": [[7.033, 0.000, 0.000], [0.000, 7.033, 0.000], [0.000, 0.000, 7.033]], "species": ["Tb", "Tb", "Tb", "Tb", "Nd", "Nd", "Nd", "Nd", "Zn", "Zn", "Zn", "Zn", "Co", "Co", "Co", "Co"], "frac_coords": [[0.000, 0.000, 0.000], [0.000, 0.500, 0.500], [0.500, 0.000, 0.500], [0.500, 0.500, 0.000], [0.000, 0.000, 0.500], [0.000, 0.500, 0.000], [0.500, 0.000, 0.000], [0.500, 0.500, 0.500], [0.250, 0.250, 0.750], [0.250, 0.750, 0.250], [0.750, 0.250, 0.250], [0.750, 0.750, 0.750], [0.250, 0.250, 0.250], [0.250, 0.750, 0.750], [0.750, 0.250, 0.750], [0.750, 0.750, 0.250]]}

***

Which structure is the least stable? The one labeled *b*.

***

*a*
{"formula": "Nd5CoTe2", "functional": "GGA-PBE", "state": "relaxed", "total_magnetization_mub_per_cell": 0.00, "cell": [[8.243, 0.000, 0.000], [0.000, 12.683, 0.000], [0.000, 0.000, 4.464]], "species": ["Nd", "Nd", "Nd", "Nd", "Nd", "Nd", "Nd", "Nd", "Nd", "Nd", "Co", "Co", "Te", "Te", "Te", "Te"], "frac_coords": [[0.000, 0.000, 0.000], [0.133, 0.307, 0.000], [0.185, 0.563, 0.500], [0.315, 0.063, 0.500], [0.367, 0.807, 0.000], [0.500, 0.500, 0.000], [0.633, 0.193, 0.000], [0.685, 0.937, 0.500], [0.815, 0.437, 0.500], [0.867, 0.693, 0.000], [0.000, 0.500, 0.000], [0.500, 0.000, 0.000], [0.077, 0.824, 0.500], [0.423, 0.324, 0.500], [0.577, 0.676, 0.500], [0.923, 0.176, 0.500]]}

***

*b*
{"formula": "Nd5CoTe2", "functional": "GGA-PBE", "state": "relaxed", "total_magnetization_mub_per_cell": 0.00, "cell": [[3.037, -6.037, 0.000], [3.037, 6.037, 0.000], [0.000, 0.000, 14.717]], "species": ["Nd", "Nd", "Nd", "Nd", "Nd", "Nd", "Nd", "Nd", "Nd", "Nd", "Co", "Co", "Te", "Te", "Te", "Te"], "frac_coords": [[0.064, 0.936, 0.627], [0.064, 0.936, 0.873], [0.311, 0.689, 0.250], [0.367, 0.633, 0.618], [0.367, 0.633, 0.882], [0.633, 0.367, 0.118], [0.633, 0.367, 0.382], [0.689, 0.311, 0.750], [0.936, 0.064, 0.127], [0.936, 0.064, 0.373], [0.220, 0.780, 0.750], [0.780, 0.220, 0.250], [0.190, 0.810, 0.060], [0.190, 0.810, 0.440], [0.810, 0.190, 0.560], [0.810, 0.190, 0.940]]}

***

Which structure is the least stable? The one labeled *b*.

***

*a*
{"formula": "NdThCo4", "functional": "GGA-PBE", "state": "relaxed", "total_magnetization_mub_per_cell": 0.00, "cell": [[0.000, 3.617, 3.617], [3.617, 0.000, 3.617], [3.617, 3.617, 0.000]], "species": ["Nd", "Th", "Co", "Co", "Co", "Co"], "frac_coords": [[0.000, 0.000, 0.000], [0.750, 0.750, 0.750], [0.375, 0.375, 0.375], [0.375, 0.375, 0.875], [0.375, 0.875, 0.375], [0.875, 0.375, 0.375]]}

***

*b*
{"formula": "NdThCo4", "functional": "GGA-PBE", "state": "relaxed", "total_magnetization_mub_per_cell": 1.90, "cell": [[3.947, 0.000, 0.000], [0.000, 4.088, 0.000], [0.000, 0.000, 6.796]], "species": ["Nd", "Th", "Co", "Co", "Co", "Co"], "frac_coords": [[0.000, 0.000, 0.000], [0.500, 0.000, 0.500], [0.000, 0.500, 0.335], [0.000, 0.500, 0.665], [0.500, 0.500, 0.170], [0.500, 0.500, 0.830]]}

***

Which structure is the least stable? The one labeled *a*.